No. 1
# CdBi

CdBi after structural relaxation (PBE, Alexandria via LeMat-Bulk).

## Properties
ΔE_f: 0.030 eV/atom
magnetization: 0.00 μB per formula unit
theoretical density: 9.048 g cm⁻³

Cell: 3.478 4.915 7.586 Å, 88.59 76.75 69.45°
Fractional positions:
1 Cd 0.194 0.216 0.391
2 Cd 0.806 0.784 0.609
3 Bi 0.033 0.757 0.169
4 Bi 0.967 0.243 0.831

No. 2
# MgNbHg2

MgNbHg2 after structural relaxation (PBE, Alexandria via LeMat-Bulk).

## Properties
ΔE_f: 0.541 eV/atom
magnetization: 1.00 μB per formula unit
theoretical density: 9.428 g cm⁻³

Cell: 10.334 10.334 10.334 Å, 155.98 155.98 34.22°
Fractional positions:
1 Mg 0.000 0.000 0.000
2 Mg 0.750 0.250 0.500
3 Nb 0.250 0.750 0.500
4 Nb 0.500 0.500 0.000
5 Hg 0.123 0.625 0.998
6 Hg 0.375 0.373 0.498
7 Hg 0.627 0.125 0.002
8 Hg 0.875 0.877 0.502

No. 3
# K3Pr2DyTe6

K3Pr2DyTe6 after structural relaxation (PBE, Alexandria via LeMat-Bulk).

## Properties
formation energy (no corrections): -1410 meV per atom
magnetization: 0.00 μB per formula unit
theoretical density: 4.858 g cm⁻³

Cell: 7.965 7.965 8.674 Å, 98.81 98.81 120.01°
Fractional positions:
1 K 0.000 0.000 0.000
2 K 0.331 0.669 0.000
3 K 0.669 0.331 0.000
4 Pr 0.166 0.834 0.500
5 Pr 0.834 0.166 0.500
6 Dy 0.500 0.500 0.500
7 Te 0.105 0.429 0.287
8 Te 0.247 0.247 0.714
9 Te 0.429 0.105 0.287
10 Te 0.571 0.895 0.713
11 Te 0.753 0.753 0.286
12 Te 0.895 0.571 0.713

No. 4
# BaSiPb2

BaSiPb2 after structural relaxation (PBE, Alexandria via LeMat-Bulk).

## Properties
formation energy (no corrections): -206 meV per atom
magnetization: 0.00 μB per formula unit
theoretical density: 7.311 g cm⁻³

Cell: 4.663 4.663 6.058 Å, 90.00 90.00 90.00°
Fractional positions:
1 Ba 0.000 0.000 0.000
2 Si 0.500 0.500 0.799
3 Pb 0.000 0.500 0.495
4 Pb 0.500 0.000 0.495

No. 5
# La2YZn

La2YZn after structural relaxation (PBE, Alexandria via LeMat-Bulk).

## Properties
ΔE_f: -0.144 eV/atom
magnetization: 0.00 μB per formula unit
theoretical density: 5.864 g cm⁻³
energy above the most stable polymorph in this dataset: 17.2 meV per atom

Cell: 6.708 6.708 5.553 Å, 114.44 114.44 32.89°
Fractional positions:
1 La 0.000 0.000 0.000
2 La 0.209 0.209 0.711
3 Y 0.787 0.787 0.289
4 Zn 0.487 0.487 0.486

No. 6
# Ba4LiNi

Ba4LiNi after structural relaxation (PBE, Alexandria via LeMat-Bulk).

## Properties
ΔE_f: 0.089 eV/atom
magnetization: 0.00 μB per formula unit
theoretical density: 3.560 g cm⁻³
energy above the most stable polymorph in this dataset: 0.0 meV per atom

Cell: 10.803 10.180 11.483 Å, 90.00 114.69 90.00°
Fractional positions:
1 Ba 0.059 0.183 0.073
2 Ba 0.059 0.317 0.573
3 Ba 0.211 0.542 0.210
4 Ba 0.211 0.958 0.710
5 Ba 0.377 0.178 0.464
6 Ba 0.377 0.322 0.964
7 Ba 0.384 0.568 0.645
8 Ba 0.384 0.932 0.145
9 Ba 0.616 0.068 0.855
10 Ba 0.616 0.432 0.355
11 Ba 0.623 0.678 0.036
12 Ba 0.623 0.822 0.536
13 Ba 0.789 0.042 0.290
14 Ba 0.789 0.458 0.790
15 Ba 0.941 0.683 0.427
16 Ba 0.941 0.817 0.927
17 Li 0.155 0.612 0.825
18 Li 0.155 0.888 0.325
19 Li 0.845 0.112 0.675
20 Li 0.845 0.388 0.175
21 Ni 0.354 0.238 0.708
22 Ni 0.354 0.262 0.208
23 Ni 0.646 0.738 0.792
24 Ni 0.646 0.762 0.292

Please write out number 5 again, unchanged.
# La2YZn

La2YZn after structural relaxation (PBE, Alexandria via LeMat-Bulk).

## Properties
ΔE_f: -0.144 eV/atom
magnetization: 0.00 μB per formula unit
theoretical density: 5.864 g cm⁻³
energy above the most stable polymorph in this dataset: 17.2 meV per atom

Cell: 6.708 6.708 5.553 Å, 114.44 114.44 32.89°
Fractional positions:
1 La 0.000 0.000 0.000
2 La 0.209 0.209 0.711
3 Y 0.787 0.787 0.289
4 Zn 0.487 0.487 0.486